No. 1
TeMo2Cl | GGA-PBE | optimized geometry

a b c (Å): 3.2625 3.2625 6.4442
angles (deg): 90.00 90.00 90.00
With the nearest neighbours (Å) after each atom.
Space group P4/mmm (No. 123)
Unique sites:
Te: 0.0000 0.0000 0.0000 x1  8 Mo 2.81
Mo: 0.5000 0.5000 0.2495 x2  4 Te 2.81, 4 Cl 2.82
Cl: 0.0000 0.0000 0.5000 x1  8 Mo 2.82

Summary:
- Total magnetic moment: 0.0 μB/f.u.
- Total DFT energy (no corrections): -24.1 eV for the cell shown
- Raw formation energy: 630 meV/atom

No. 2
TiNb3Ir4 | GGA-PBE | optimized geometry

a b c (Å): 2.8981 2.8981 15.1155
angles (deg): 90.00 90.00 90.00
With the nearest neighbours (Å) after each atom.
Space group P4/mmm (No. 123)
Unique sites:
Ti: 0.0000 0.0000 0.0000 x1  8 Ir 2.65, 4 Ti 2.90
Nb: 0.0000 0.0000 0.2435 x2  8 Ir 2.82-2.86, 4 Nb 2.90
Nb: 0.0000 0.0000 0.5000 x1  8 Ir 2.82, 4 Nb 2.90
Ir: 0.5000 0.5000 0.1111 x2  4 Ti 2.65, 4 Nb 2.86, 4 Ir 2.90
Ir: 0.5000 0.5000 0.3720 x2  8 Nb 2.82, 4 Ir 2.90

Summary:
- Total magnetic moment: 0.0 μB/f.u.
- Energy relative to the elements: -0.612 eV/atom
- Total DFT energy (no corrections): -78.4 eV for the cell shown

No. 3
Mg6TlAg2 | GGA-PBE | optimized geometry

a b c (Å): 8.7244 9.0950 10.0775
angles (deg): 90.00 90.00 90.00
With the nearest neighbours (Å) after each atom.
Space group Immm (No. 71)
Unique sites:
Mg: 0.0000 0.2078 0.1667 x8  3 Ag 2.73-2.90
Mg: 0.1881 0.2092 0.5000 x8  3 Ag 2.87-2.95, 1 Tl 3.11
Mg: 0.2010 0.5000 0.2489 x8  2 Ag 2.79-2.84, 2 Tl 3.06-3.08
Tl: 0.0000 0.5000 0.0000 x2  12 Mg 3.06-3.32
Tl: 0.0000 0.5000 0.5000 x2  2 Ag 2.94, 8 Mg 3.08-3.11
Ag: 0.0000 0.0000 0.3619 x4  8 Mg 2.73-2.87, 1 Ag 2.78
Ag: 0.1629 0.0000 0.0000 x4  8 Mg 2.79-2.95, 1 Ag 2.84, 1 Tl 2.94

Summary:
- Total magnetic moment: 0.0 μB/f.u.
- Energy relative to the elements: -0.089 eV/atom
- Total DFT energy (no corrections): -73.8 eV for the cell shown

No. 4
Ac6Ge2AsS3 | GGA-PBE | optimized geometry

a b c (Å): 19.4098 4.5059 8.8879
angles (deg): 90.00 102.16 90.00
With the nearest neighbours (Å) after each atom.
Space group C2/m (No. 12)
Unique sites:
Ac: 0.0010 0.0000 0.2507 x4  1 Ge 3.12, 3 S 3.16, 2 As 3.17
Ac: 0.1670 0.5000 0.0853 x4  2 Ge 3.14, 3 S 3.17-3.18, 1 As 3.17
Ac: 0.1672 0.5000 0.5819 x4  3 Ge 3.16-3.17, 3 S 3.17-3.18
Ge: 0.1657 0.0000 0.3312 x4  6 Ac 3.12-3.17
As: 0.0000 0.5000 0.0000 x2  6 Ac 3.17
S: 0.0000 0.5000 0.5000 x2  6 Ac 3.16-3.17
S: 0.1655 0.0000 0.8339 x4  6 Ac 3.16-3.18

Summary:
- Total magnetic moment: 0.0 μB/f.u.
- Total DFT energy (no corrections): -138.5 eV for the cell shown
- Raw formation energy: -1529 meV/atom

No. 5
Li2NpReN4 | GGA-PBE | optimized geometry

a b c (Å): 3.1871 12.3269 9.4050
angles (deg): 90.00 90.00 90.00
With the nearest neighbours (Å) after each atom.
Space group Cmcm (No. 63)
Unique sites:
Li: 0.0000 0.0916 0.0373 x8  4 N 1.84-2.01
Np: 0.0000 0.4587 0.2500 x4  4 N 2.40-2.41
Re: 0.0000 0.2830 0.7500 x4  2 N 1.75
N: 0.0000 0.1041 0.2500 x4  2 Li 2.01, 2 Re 2.12
N: 0.0000 0.1896 0.6097 x8  1 Re 1.75, 1 Li 1.84
N: 0.0000 0.5000 0.0000 x4  4 Li 1.98

Summary:
- Total magnetic moment: 2.9 μB/f.u.
- Total DFT energy (no corrections): -259.8 eV for the cell shown
- Raw formation energy: -303 meV/atom

No. 6
RbSiPt | GGA-PBE | optimized geometry

a b c (Å): 6.9468 7.8834 7.8822
angles (deg): 90.00 124.55 90.00
With the nearest neighbours (Å) after each atom.
Space group P2_1/c (No. 14)
Unique sites:
Rb: 0.1123 0.9996 0.3062 x4  6 Si 3.68-3.97, 6 Pt 3.78-3.81
Si: 0.4995 0.1675 0.1673 x4  3 Pt 2.28-2.35
Pt: 0.4997 0.1280 0.8718 x4  3 Si 2.28-2.35

Summary:
- Total magnetic moment: 0.0 μB/f.u.
- Total DFT energy (no corrections): -55.8 eV for the cell shown
- Raw formation energy: -504 meV/atom

No. 7
BeAl2Cd | GGA-PBE | optimized geometry

a b c (Å): 2.9050 2.9050 7.7156
angles (deg): 90.00 90.00 90.00
With the nearest neighbours (Å) after each atom.
Space group P4/mmm (No. 123)
Unique sites:
Be: 0.0000 0.0000 0.0000 x1  8 Al 2.54
Al: 0.5000 0.5000 0.1936 x2  4 Be 2.54
Cd: 0.0000 0.0000 0.5000 x1  4 Cd 2.91, 8 Al 3.13

Summary:
- Total magnetic moment: 0.0 μB/f.u.
- Energy relative to the elements: 0.238 eV/atom
- Total DFT energy (no corrections): -11.2 eV for the cell shown

No. 8
ScTa2I2 | GGA-PBE | optimized geometry

a b c (Å): 8.2604 8.2604 3.2825
angles (deg): 90.00 90.00 90.00
With the nearest neighbours (Å) after each atom.
Space group P4/mbm (No. 127)
Unique sites:
Sc: 0.0000 0.0000 0.0000 x2  4 Ta 3.18, 2 Sc 3.28, 8 I 3.53
Ta: 0.1414 0.3586 0.0000 x4  6 I 2.90-2.95, 2 Sc 3.18
I: 0.1544 0.6544 0.5000 x4  6 Ta 2.90-2.95

Summary:
- Total magnetic moment: 0.4 μB/f.u.
- Total DFT energy (no corrections): -57.1 eV for the cell shown
- Raw formation energy: 921 meV/atom

No. 9
YSnPd5 | GGA-PBE | optimized geometry

a b c (Å): 7.7618 5.8670 11.5523
angles (deg): 90.00 90.00 90.00
With the nearest neighbours (Å) after each atom.
Space group Cmcm (No. 63)
Unique sites:
Y: 0.0000 0.0009 0.2500 x4  10 Pd 2.86-2.94
Sn: 0.0000 0.5000 0.0000 x4  10 Pd 2.80-2.89
Pd: 0.0000 0.4995 0.7500 x4  8 Pd 2.86, 2 Sn 2.89, 2 Y 2.93-2.94
Pd: 0.2499 0.2494 0.6197 x16  6 Pd 2.77-3.01, 2 Sn 2.80, 2 Y 2.86

Summary:
- Total magnetic moment: 0.0 μB/f.u.
- Energy relative to the elements: -0.612 eV/atom
- Total DFT energy (no corrections): -162.9 eV for the cell shown

No. 10
AlAgSbS4 | GGA-PBE | optimized geometry

a b c (Å): 7.3452 7.6758 10.6864
angles (deg): 90.00 90.00 90.00
With the nearest neighbours (Å) after each atom.
Space group Imma (No. 74)
Unique sites:
Al: 0.2500 0.2500 0.2500 x4  6 S 2.44-2.46
Ag: 0.0000 0.2500 0.6459 x4  4 S 2.48-2.56
Sb: 0.0000 0.0000 0.0000 x4  6 S 2.65-2.67
S: 0.0000 0.0370 0.2467 x8  2 Al 2.46, 1 Ag 2.48, 1 Sb 2.65
S: 0.2494 0.2500 0.4785 x8  1 Al 2.44, 1 Ag 2.56, 2 Sb 2.67

Summary:
- Total magnetic moment: 0.0 μB/f.u.
- Total DFT energy (no corrections): -121.9 eV for the cell shown
- Raw formation energy: -463 meV/atom

No. 11
Au7Cl | GGA-PBE | optimized geometry

a b c (Å): 8.3880 8.3880 8.3880
angles (deg): 90.00 90.00 90.00
With the nearest neighbours (Å) after each atom.
Space group Fm-3m (No. 225)
Unique sites:
Au: 0.0000 0.0000 0.0000 x4  12 Au 2.97
Au: 0.0000 0.2500 0.2500 x24  10 Au 2.97, 2 Cl 2.97
Cl: 0.0000 0.0000 0.5000 x4  12 Au 2.97

Summary:
- Total magnetic moment: 0.0 μB/f.u.
- Total DFT energy (no corrections): -94.7 eV for the cell shown
- Raw formation energy: 139 meV/atom

No. 12
TlF | GGA-PBE | optimized geometry

a b c (Å): 6.1411 6.1411 6.1411
angles (deg): 90.00 90.00 90.00
With the nearest neighbours (Å) after each atom.
Space group F-43m (No. 216)
Unique sites:
Tl: 0.0000 0.0000 0.0000 x4  4 F 2.66
F: 0.2500 0.2500 0.2500 x4  4 Tl 2.66

Summary:
- Total magnetic moment: 0.0 μB/f.u.
- Total DFT energy (no corrections): -30.5 eV for the cell shown
- Raw formation energy: -1699 meV/atom

Look up the total magnetic moment of the eleventh one.
0.0 μB/f.u.